No. 1
DFT (PBE) results for a relaxed structure of ZnSbPO2.

abc: 3.8835 3.8835 5.3959
angles: 90.00 90.00 90.00
With the nearest neighbours (Å) after each atom.
Fractional positions:
P1 0.0000 0.0000 0.5000  2 Sb 2.70, 4 Zn 2.75
Zn1 0.5000 0.5000 0.5000  4 P 2.75
O1 0.5000 0.0000 0.0000  2 Sb 1.94
O2 0.0000 0.5000 0.0000  2 Sb 1.94
Sb1 0.0000 0.0000 0.0000  4 O 1.94

Relative energy among the computed polymorphs, meV per atom: 0.0
Formation energy without anion corrections, eV per atom: -0.378
Symmetry: P4/mmm (123)
VASP energy, eV per cell: -22.611

No. 2
DFT (PBE) results for a relaxed structure of AlH3Cl.

abc: 3.6472 3.6472 3.6472
angles: 90.00 90.00 90.00
With the nearest neighbours (Å) after each atom.
Fractional positions:
Al1 0.0000 0.0000 0.0000  6 H 1.82
H1 0.5000 0.0000 0.0000  2 Al 1.82
H2 0.0000 0.5000 0.0000  2 Al 1.82
H3 0.0000 0.0000 0.5000  2 Al 1.82
Cl1 0.5000 0.5000 0.5000  12 H 2.58

Relative energy among the computed polymorphs, meV per atom: 586.4
Symmetry: Pm-3m (221)
VASP energy, eV per cell: -13.961

No. 3
DFT (PBE) results for a relaxed structure of SrMnTe.

abc: 5.4016 5.4016 5.4016
angles: 60.00 60.00 60.00
With the nearest neighbours (Å) after each atom.
Fractional positions:
Sr1 0.7500 0.7500 0.7500  4 Te 3.31, 4 Mn 3.31
Mn1 0.5000 0.5000 0.5000  4 Sr 3.31
Te1 0.0000 0.0000 0.0000  4 Sr 3.31

Relative energy among the computed polymorphs, meV per atom: 513.2
Formation energy without anion corrections, eV per atom: 0.102
Symmetry: F-43m (216)
VASP energy, eV per cell: -13.688

No. 4
DFT (PBE) results for a relaxed structure of ZnIrCl3.

abc: 4.8003 4.8003 4.8003
angles: 90.00 90.00 90.00
With the nearest neighbours (Å) after each atom.
Fractional positions:
Cl1 0.0000 0.5000 0.0000  2 Zn 2.40
Cl2 0.5000 0.0000 0.0000  2 Zn 2.40
Cl3 0.0000 0.0000 0.5000  2 Zn 2.40
Zn1 0.0000 0.0000 0.0000  6 Cl 2.40
Ir1 0.5000 0.5000 0.5000  12 Cl 3.39

Relative energy among the computed polymorphs, meV per atom: 440.8
Formation energy without anion corrections, eV per atom: 0.537
Symmetry: Pm-3m (221)
VASP energy, eV per cell: -12.992

No. 5
DFT (PBE) results for a relaxed structure of Y6Ge3O.

abc: 6.7686 8.9383 8.9383
angles: 102.24 90.00 90.00
With the nearest neighbours (Å) after each atom.
Fractional positions:
O1 0.0241 0.2004 0.7996  4 Y 2.23-2.26
O2 0.5241 0.7996 0.2004  4 Y 2.23-2.26
Ge1 0.9106 0.6107 0.3893  7 Y 2.88-3.03
Ge2 0.4710 0.9352 0.7187  7 Y 2.84-3.17
Ge3 0.4106 0.3893 0.6107  7 Y 2.88-3.03
Ge4 0.9710 0.7187 0.9352  7 Y 2.84-3.17
Ge5 0.9710 0.0648 0.2813  7 Y 2.84-3.17
Ge6 0.4710 0.2813 0.0648  7 Y 2.84-3.17
Y1 0.1488 0.0496 0.9504  1 O 2.26
Y2 0.1839 0.4241 0.8891  1 O 2.26
Y3 0.6965 0.3089 0.3649  4 Ge 2.84-3.05
Y4 0.1989 0.7742 0.2258  1 O 2.23
Y5 0.6488 0.9504 0.0496  1 O 2.26
Y6 0.6839 0.5759 0.1109  1 O 2.26
Y7 0.6989 0.2258 0.7742  1 O 2.23
Y8 0.1965 0.6911 0.6351  4 Ge 2.84-3.05
Y9 0.6965 0.6351 0.6911  4 Ge 2.84-3.05
Y10 0.1965 0.3649 0.3089  4 Ge 2.84-3.05
Y11 0.1839 0.1109 0.5759  1 O 2.26
Y12 0.6839 0.8891 0.4241  1 O 2.26

Formation energy without anion corrections, eV per atom: -1.096
Symmetry: Cmc2_1 (36)
VASP energy, eV per cell: -137.113

No. 6
DFT (PBE) results for a relaxed structure of Ca4Zn3Ag.

abc: 4.1272 4.5273 11.4211
angles: 90.00 90.00 90.00
With the nearest neighbours (Å) after each atom.
Fractional positions:
Ag1 0.5000 0.5000 0.0675  2 Zn 2.75
Ca1 0.0000 0.5000 0.8541  5 Zn 3.19-3.30, 2 Ag 3.19
Ca2 0.5000 0.0000 0.6455  7 Zn 3.17-3.26
Ca3 0.5000 0.5000 0.3554  6 Zn 3.16-3.20, 1 Ag 3.29
Ca4 0.0000 0.0000 0.1458  4 Ag 3.19, 3 Zn 3.20-3.30
Zn1 0.5000 0.0000 0.9313  2 Ag 2.75
Zn2 0.0000 0.5000 0.5652  2 Zn 2.71
Zn3 0.0000 0.0000 0.4352  2 Zn 2.71

Relative energy among the computed polymorphs, meV per atom: 0.0
Symmetry: Pmm2 (25)
VASP energy, eV per cell: -16.824

| no. | N(E_F) (states/eV/f.u.) |
| --- | --- |
| 1 | 0.8 |
| 2 | 3.6 |
| 3 | 2.2 |
| 4 | 8.3 |
| 5 | 9.6 |
| 6 | 5.4 |